{
  "formula": "Li2ZnTc",
  "functional": "PBE",
  "state": "relaxed",
  "cell": [[1.3631, 0.7870, 9.4010], [-1.3631, 0.7870, 9.4010], [0.0000, -1.5739, 9.4010]],
  "species": ["Li", "Li", "Zn", "Tc"],
  "fractional_positions": [[0.0000, 0.0000, 0.0000], [0.2419, 0.2419, 0.2419], [0.7475, 0.7475, 0.7475], [0.4940, 0.4940, 0.4940]],
  "ef_ev_per_fu": 0.565,
  "total_energy_ev_per_atom": -3.726
}


{
  "formula": "BeCdTe4",
  "functional": "PBE",
  "state": "relaxed",
  "cell": [[0.0000, 4.5017, 4.5017], [4.5017, 0.0000, 4.5017], [4.5017, 4.5017, 0.0000]],
  "species": ["Be", "Cd", "Te", "Te", "Te", "Te"],
  "fractional_positions": [[0.0000, 0.0000, 0.0000], [0.7500, 0.7500, 0.7500], [0.3749, 0.3749, 0.3749], [0.3749, 0.3749, 0.8754], [0.3749, 0.8754, 0.3749], [0.8754, 0.3749, 0.3749]],
  "total_energy_ev_per_atom": -2.127,
  "raw_formation_energy_ev_per_atom": 0.74
}


{
  "formula": "LiTl2O",
  "functional": "PBE",
  "state": "relaxed",
  "cell": [[-3.6146, 3.6146, 3.1995], [3.6146, -3.6146, 3.1995], [3.6146, 3.6146, -3.1995]],
  "species": ["Li", "Li", "Tl", "Tl", "Tl", "Tl", "O", "O"],
  "fractional_positions": [[0.0000, 0.0000, 0.0000], [0.7500, 0.2500, 0.5000], [0.1769, 0.6250, 0.0519], [0.3750, 0.4269, 0.5519], [0.5731, 0.1250, 0.9481], [0.8750, 0.8231, 0.4481], [0.2500, 0.7500, 0.5000], [0.5000, 0.5000, 0.0000]],
  "total_energy_ev_per_atom": -3.313,
  "raw_formation_energy_ev_per_atom": -0.41
}


{
  "formula": "BaBeAs2Se",
  "functional": "PBE",
  "state": "relaxed",
  "cell": [[6.5755, 0.0000, 0.0000], [0.0000, 6.5755, 0.0000], [0.0000, 0.0000, 6.1702]],
  "species": ["Ba", "Be", "As", "As", "Se"],
  "fractional_positions": [[0.0000, 0.0000, 0.0000], [0.5000, 0.5000, 0.5000], [0.0000, 0.5000, 0.0000], [0.5000, 0.0000, 0.0000], [0.0000, 0.0000, 0.5000]],
  "total_energy_ev_per_atom": -2.329,
  "raw_formation_energy_ev_per_atom": 1.36
}


{
  "formula": "NiAg3",
  "functional": "PBE",
  "state": "relaxed",
  "cell": [[5.1131, 0.0000, 0.0000], [0.0000, 5.1131, 0.0000], [0.0000, 0.0000, 5.1131]],
  "species": ["Ni", "Ni", "Ag", "Ag", "Ag", "Ag", "Ag", "Ag"],
  "fractional_positions": [[0.0000, 0.0000, 0.0000], [0.5000, 0.5000, 0.5000], [0.0000, 0.2500, 0.5000], [0.0000, 0.7500, 0.5000], [0.2500, 0.5000, 0.0000], [0.5000, 0.0000, 0.2500], [0.5000, 0.0000, 0.7500], [0.7500, 0.5000, 0.0000]],
  "ef_ev_per_fu": 1.257,
  "total_energy_ev_per_atom": -3.269
}


{
  "formula": "AcSn2Au6",
  "functional": "PBE",
  "state": "relaxed",
  "cell": [[5.5861, 0.0000, 0.0000], [-2.7930, 4.8377, 0.0000], [0.0000, 0.0000, 8.7374]],
  "species": ["Ac", "Sn", "Sn", "Au", "Au", "Au", "Au", "Au", "Au"],
  "fractional_positions": [[0.0000, 0.0000, 0.0000], [0.3333, 0.6667, 0.5000], [0.6667, 0.3333, 0.5000], [0.0000, 0.5000, 0.2025], [0.0000, 0.5000, 0.7975], [0.5000, 0.0000, 0.2025], [0.5000, 0.0000, 0.7975], [0.5000, 0.5000, 0.2025], [0.5000, 0.5000, 0.7975]],
  "ef_ev_per_fu": -2.453,
  "total_energy_ev_per_atom": -3.803
}